1.
Ni2Sn2Pb PBE-GGA optimized geometry; excess energy over the best structure of this formula in the dataset = 25 meV per atom; raw total energy = -45.9 eV/cell; symmetry = No. 127
1.0
7.733 0.000 0.000
0.000 7.733 0.000
0.000 0.000 3.271
Sn Pb Ni
4 2 4
Direct
0.658 0.842 0.500
0.842 0.342 0.500
0.158 0.658 0.500
0.342 0.158 0.500
0.000 0.000 0.000
0.500 0.500 0.000
0.875 0.625 0.000
0.375 0.875 0.000
0.125 0.375 0.000
0.625 0.125 0.000

=====

2.
Ni3SnPb PBE-GGA optimized geometry; excess energy over the best structure of this formula in the dataset = 0 meV per atom; raw total energy = -21.5 eV/cell; symmetry = No. 221
1.0
4.731 0.000 0.000
0.000 4.731 0.000
0.000 0.000 4.731
Ni Sn Pb
3 1 1
Direct
0.500 0.000 0.000
0.000 0.000 0.500
0.000 0.500 0.000
0.000 0.000 0.000
0.500 0.500 0.500

=====

3.
Ni2Sn2Pb PBE-GGA optimized geometry; excess energy over the best structure of this formula in the dataset = 71 meV per atom; raw total energy = -22.7 eV/cell; symmetry = No. 139
1.0
4.353 0.000 0.000
0.000 4.353 0.000
2.176 2.176 5.501
Ni Sn Pb
2 2 1
Direct
0.614 0.614 0.772
0.386 0.386 0.228
0.250 0.750 0.500
0.750 0.250 0.500
0.000 0.000 0.000

=====

4.
Ni2Sn2Pb PBE-GGA optimized geometry; excess energy over the best structure of this formula in the dataset = 115 meV per atom; raw total energy = -45.0 eV/cell; symmetry = No. 127
1.0
-5.035 -1.530 6.196
4.729 -6.195 2.313
1.596 1.875 1.760
Sn Ni Pb
4 4 2
Direct
0.639 0.139 0.000
0.361 0.861 0.000
0.861 0.639 0.000
0.139 0.361 0.000
0.647 0.853 0.500
0.147 0.647 0.500
0.353 0.147 0.500
0.853 0.353 0.500
0.000 0.000 0.000
0.500 0.500 0.000

=====

5.
NiSnPb PBE-GGA optimized geometry; raw total energy = -13.5 eV/cell; symmetry = No. 216
1.0
-1.696 3.620 -2.214
-4.439 0.147 -1.075
-2.781 2.907 2.168
Ni Pb Sn
1 1 1
Direct
0.250 0.250 0.250
0.000 0.000 0.000
0.500 0.500 0.500

=====

6.
Ni2SnPb2 PBE-GGA optimized geometry; raw total energy = -21.5 eV/cell; symmetry = No. 139
1.0
5.499 0.000 0.000
0.000 5.499 0.000
2.750 2.750 3.687
Pb Sn Ni
2 1 2
Direct
0.750 0.250 0.500
0.250 0.750 0.500
0.000 0.000 0.000
0.340 0.340 0.319
0.660 0.660 0.681

=====

Which of these has the highest raw total energy? NiSnPb